This record from Alexandria via LeMat-Bulk describes CaAc2Pr3Te6 after structural relaxation. The functional is PBE.

Formation energy from raw total energies: -1.483 eV/atom
Total moment: 0.00 Bohr magnetons per cell
N(E_F): 0.475 states/eV per atom

abc: 20.0596 4.5690 9.2626
angles: 90.00 103.45 90.00
Space group C2/m (No. 12)
Unique sites:
Ca 0.0000 0.0000 0.0000 (multiplicity 2)
Ac 0.1677 0.5000 0.3344 (multiplicity 4)
Pr 0.0000 0.0000 0.5000 (multiplicity 2)
Pr 0.1714 0.5000 0.8331 (multiplicity 4)
Te 0.0038 0.5000 0.7566 (multiplicity 4)
Te 0.1619 0.0000 0.0717 (multiplicity 4)
Te 0.1628 0.0000 0.5891 (multiplicity 4)